Density functional theory data (PBE-GGA) for ErZrRu2 after structural relaxation.

Results
Symmetry = Fm-3m, No. 225
Size of the total moment = 0.00 μB/f.u.
Energy of formation = -2.17 eV/f.u.
Total energy = -8.457 eV per atom

Unit cell a=4.695 b=4.695 c=4.695 alpha=60.00 beta=60.00 gamma=60.00
Positions (direct):
Er (0.250, 0.250, 0.250)
Zr (0.750, 0.750, 0.750)
Ru (0.000, 0.000, 0.000)
Ru (0.500, 0.500, 0.500)